(1)
Compound: UP2Os
Source: Alexandria via LeMat-Bulk
Functional: GGA-PBE
Structure: relaxed

Values from the calculation:
- Total magnetization: 0.0 μB/f.u.
- E_tot: -8.969 eV per atom

Structure (POSCAR):
```
UP2Os
1.0
3.905 0.000 -0.794
-0.161 3.902 -0.794
-0.200 -0.208 9.021
P Os U
4 2 2
Direct
0.000 0.500 0.000 P
0.500 0.000 0.000 P
0.327 0.327 0.655 P
0.673 0.673 0.345 P
0.250 0.750 0.500 Os
0.750 0.250 0.500 Os
0.890 0.890 0.781 U
0.110 0.110 0.219 U
```

=====

(2)
Compound: LiCd2GaHg4
Source: Alexandria via LeMat-Bulk
Functional: GGA-PBE
Structure: relaxed

Values from the calculation:
- Total magnetization: 0.0 μB/f.u.
- E_tot: -1.053 eV per atom

Structure (POSCAR):
```
LiCd2GaHg4
1.0
-0.121 0.578 3.158
-0.612 -6.015 1.078
9.404 0.964 0.183
Hg Li Cd Ga
4 1 2 1
Direct
0.000 0.260 0.772 Hg
0.500 0.258 0.236 Hg
0.500 0.742 0.764 Hg
0.000 0.740 0.228 Hg
0.500 0.500 0.000 Li
0.000 0.500 0.500 Cd
0.500 0.000 0.500 Cd
0.000 0.000 0.000 Ga
```

=====

(3)
Compound: TcOs3
Source: Alexandria via LeMat-Bulk
Functional: GGA-PBE
Structure: relaxed

Values from the calculation:
- Total magnetization: 0.0 μB/f.u.
- E_tot: -10.306 eV per atom

Structure (POSCAR):
```
TcOs3
1.0
-0.875 -2.439 0.705
-1.245 -1.870 -4.600
4.229 -1.865 2.201
Os Tc
3 1
Direct
0.500 0.500 0.000 Os
0.000 0.000 0.000 Os
0.500 0.000 0.500 Os
0.000 0.500 0.500 Tc
```

=====

(4)
Compound: Ba8P3PdBr4
Source: Alexandria via LeMat-Bulk
Functional: GGA-PBE
Structure: relaxed

Values from the calculation:
- Total magnetization: 0.5 μB/f.u.
- E_tot: -4.154 eV per atom
- Formation energy from raw total energies: -1435 meV/atom

Structure (POSCAR):
```
Ba8P3PdBr4
1.0
9.401 0.000 0.000
0.000 9.634 0.154
-4.701 -4.696 6.653
Ba P Pd Br
8 3 1 4
Direct
0.241 0.714 0.973 Ba
0.733 0.714 0.973 Ba
0.241 0.714 0.482 Ba
0.261 0.284 0.523 Ba
0.759 0.286 0.518 Ba
0.759 0.286 0.027 Ba
0.267 0.286 0.027 Ba
0.739 0.716 0.477 Ba
0.500 0.500 0.000 P
0.500 0.500 0.500 P
0.000 0.500 0.500 P
0.000 0.500 0.000 Pd
0.500 0.000 0.500 Br
0.000 0.000 0.000 Br
0.000 0.000 0.500 Br
0.500 0.000 0.000 Br
```

=====

(5)
Compound: PmTiHg2
Source: Alexandria via LeMat-Bulk
Functional: GGA-PBE
Structure: relaxed

Values from the calculation:
- Total magnetization: 1.3 μB/f.u.
- E_tot: -3.485 eV per atom

Structure (POSCAR):
```
PmTiHg2
1.0
-1.212 -3.093 1.194
2.512 -1.686 -1.818
4.541 0.473 5.835
Hg Ti Pm
2 1 1
Direct
0.000 0.000 0.213 Hg
0.000 0.000 0.787 Hg
0.500 0.500 0.000 Ti
0.500 0.500 0.500 Pm
```